A relaxed structure of BaCoSe2, computed with GGA-PBE.

Total DFT energy (no corrections) in eV/atom: -4.34
N(E_F) in states/eV per atom: 0.422
Space group: P4/mmm
Total magnetic moment in μB per atom: 0.71
ΔE_f (raw) in eV per formula unit: -1.4

Geometry as extended XYZ:
```
4
Lattice="-1.6571 -3.0477 0.9676 2.5665 -0.6175 2.4500 -3.8994 3.7143 5.0209" Properties=species:S:1:pos:R:3 pbc="T T T"
Se -3.7340 3.5568 4.8079
Co -2.4699 0.9531 5.4745
Ba -0.5202 -0.9040 2.9641
Se -2.1151 2.0147 2.7234
```


A relaxed structure of AcThTi, computed with GGA-PBE.

Total DFT energy (no corrections) in eV/atom: -6.21
N(E_F) in states/eV per atom: 1.534
Space group: P-1
Total magnetic moment in μB per atom: 0.42

Geometry as extended XYZ:
```
6
Lattice="-3.0797 5.4227 -1.2159 -2.8390 -0.8452 -2.2222 7.9604 -13.4196 13.4446" Properties=species:S:1:pos:R:3 pbc="T T T"
Th -2.2603 -1.1517 0.2466
Ac 2.9617 -5.2847 7.4722
Th 4.3020 -7.6905 9.7600
Ac -0.9200 -3.5575 2.5344
Ti 5.6455 -9.8963 11.9725
Ti -3.6038 1.0541 -1.9659
```


A relaxed structure of B4C, computed with GGA-PBE.

Total DFT energy (no corrections) in eV/atom: -6.65
N(E_F) in states/eV per atom: 0.160
Space group: P1
Total magnetic moment in μB per atom: 0.00

Geometry as extended XYZ:
```
5
Lattice="2.6670 -0.0052 0.0005 -1.3188 2.7786 0.0051 -0.0001 -0.1395 5.0244" Properties=species:S:1:pos:R:3 pbc="T T T"
B -0.5149 2.7108 0.9605
B -0.5239 1.0637 1.6911
B 2.1397 0.7072 0.0909
B 2.1397 0.5385 3.4659
C 0.8076 0.5297 2.5732
```


A relaxed structure of KCdCuTe2, computed with GGA-PBE.

Total DFT energy (no corrections) in eV/atom: -2.96
N(E_F) in states/eV per atom: 0.000
Space group: P2/c
Total magnetic moment in μB per atom: 0.00
ΔE_f (raw) in eV per formula unit: -2.4

Geometry as extended XYZ:
```
10
Lattice="-4.0614 0.5346 -4.3877 5.6434 -0.5535 -5.2912 -2.2895 -7.2638 1.2342" Properties=species:S:1:pos:R:3 pbc="T T T"
K -0.9176 -1.6758 -5.7584
Te 2.1809 -3.4279 -4.7410
Cd -3.6903 -5.1881 -1.2060
Te -0.7457 -6.8253 -6.0489
K 0.2101 -5.6069 -2.6863
Cu -1.1447 -3.6319 0.6171
Cd -2.6606 -1.5411 -1.9475
Cu 0.0000 0.0000 0.0000
Te -2.8884 -3.8548 -3.7036
Te 0.0382 -0.4575 -2.3958
```


A relaxed structure of CsBAuF6, computed with GGA-PBE.

Total DFT energy (no corrections) in eV/atom: -4.66
N(E_F) in states/eV per atom: 0.022
Space group: P1
Total magnetic moment in μB per atom: 0.10
ΔE_f (raw) in eV per formula unit: -19.9

Geometry as extended XYZ:
```
9
Lattice="5.6324 -0.1651 0.2969 2.7412 4.9028 -0.0821 0.2412 -0.2557 6.2776" Properties=species:S:1:pos:R:3 pbc="T T T"
B 3.2452 1.6514 3.2438
Au 6.0961 3.2295 3.2730
F 5.7173 3.9331 5.1038
F 4.3607 1.3412 4.0545
F 6.4681 2.5042 1.4485
F 3.4720 2.8720 2.5654
F 3.0502 0.5983 2.2973
Cs 5.8449 -0.4044 6.5031
F 2.0772 1.7822 4.0542
```


A relaxed structure of Mn2CdGaTe, computed with GGA-PBE.

Total DFT energy (no corrections) in eV/atom: -3.93
N(E_F) in states/eV per atom: 1.666
Space group: P4/mmm
Total magnetic moment in μB per atom: 0.01
ΔE_f (raw) in eV per formula unit: 5.8

Geometry as extended XYZ:
```
5
Lattice="-1.6424 -2.0699 3.7627 0.4111 -4.3105 -2.1918 4.2767 -0.4230 1.6341" Properties=species:S:1:pos:R:3 pbc="T T T"
Cd 0.2055 -2.1553 -1.0959
Ga 0.0000 0.0000 0.0000
Mn 2.1384 -0.2115 0.8170
Te 1.5227 -3.4017 1.6024
Mn -0.8212 -1.0349 1.8813
```


A relaxed structure of SrLiZnOs, computed with GGA-PBE.

Total DFT energy (no corrections) in eV/atom: -3.78
N(E_F) in states/eV per atom: 0.935
Space group: R3m
Total magnetic moment in μB per atom: 0.00

Geometry as extended XYZ:
```
12
Lattice="4.3851 0.0000 0.0000 -2.1925 3.7976 0.0000 0.0000 0.0000 15.6368" Properties=species:S:1:pos:R:3 pbc="T T T"
Sr 0.0000 2.5317 9.4568
Os 0.0000 2.5317 6.3474
Li 0.0000 2.5317 12.4896
Zn 0.0000 2.5317 1.3698
Li 0.0000 0.0000 2.0651
Li 2.1925 1.2659 7.2773
Sr 0.0000 0.0000 14.6691
Sr 2.1925 1.2659 4.2445
Os 2.1925 1.2659 1.1351
Zn 0.0000 0.0000 6.5821
Zn 2.1925 1.2659 11.7944
Os 0.0000 0.0000 11.5597
```


A relaxed structure of La2CdH2, computed with GGA-PBE.

Total DFT energy (no corrections) in eV/atom: -3.69
N(E_F) in states/eV per atom: 0.914
Space group: P4/mbm
Total magnetic moment in μB per atom: 0.00

Geometry as extended XYZ:
```
10
Lattice="7.7301 0.0000 0.0000 0.0000 7.7301 0.0000 0.0000 0.0000 3.2594" Properties=species:S:1:pos:R:3 pbc="T T T"
La 1.2534 5.1185 1.6297
H 0.8443 3.0208 0.0000
La 2.6116 1.2534 1.6297
H 3.0208 6.8858 0.0000
Cd 3.8650 3.8650 0.0000
H 4.7093 0.8443 0.0000
La 6.4766 2.6116 1.6297
Cd 0.0000 0.0000 0.0000
H 6.8858 4.7093 0.0000
La 5.1185 6.4766 1.6297
```


Which value of total magnetic moment does entry 3 give?
0.00 μB per atom


Number 3 is which compound?
B4C


What is the total DFT energy (no corrections) in the second record?
-6.21 eV/atom